VASP calculation (PBE) on ZnCu2Si after structural relaxation.

Cell: 3.683 3.713 7.840 Å, 90.00 90.00 90.00°
Space group Cmm2 (No. 35)
Unique sites:
Zn (0.000, 0.000, 0.000) (multiplicity 2)
Cu (0.000, 0.000, 0.472) (multiplicity 2)
Cu (0.000, 0.500, 0.237) (multiplicity 2)
Si (0.000, 0.500, 0.706) (multiplicity 2)

Values from the calculation:
Total moment, μB per formula unit: 0.00
N(E_F), states/eV/cell: 3.544
Uncorrected energy, eV per atom: -3.6254
Formation energy without anion corrections, meV per atom: 97
Calculated volume, Å³/cell: 107.2



VASP calculation (PBE) on SrMgIr2 after structural relaxation.

Cell: 2.962 4.396 6.253 Å, 90.00 102.78 90.00°
Space group P2/m (No. 10)
Unique sites:
Sr (0.000, 0.000, 0.000) (multiplicity 1)
Mg (0.500, 0.000, 0.500) (multiplicity 1)
Ir (0.308, 0.500, 0.685) (multiplicity 2)

Values from the calculation:
Total moment, μB per formula unit: 0.00
N(E_F), states/eV/cell: 0.838
Uncorrected energy, eV per atom: -5.2108
Formation enthalpy at 0 K, eV/atom: 0.039
Calculated volume, Å³/cell: 79.4



VASP calculation (PBE) on MnFeOs2 after structural relaxation.

Cell: 8.461 2.658 4.741 Å, 90.00 90.19 90.00°
Space group C2/m (No. 12)
Unique sites:
Mn (0.000, 0.000, 0.000) (multiplicity 2)
Fe (0.000, 0.000, 0.500) (multiplicity 2)
Os (0.227, 0.500, 0.252) (multiplicity 4)

Values from the calculation:
Total moment, μB per formula unit: 3.65
N(E_F), states/eV/cell: 7.692
Uncorrected energy, eV per atom: -9.7980
Formation enthalpy at 0 K, eV/atom: 0.225
Calculated volume, Å³/cell: 106.6



VASP calculation (PBE) on SiSe4Br after structural relaxation.

Cell: 8.106 8.106 8.106 Å, 90.00 90.00 90.00°
Space group F-43m (No. 216)
Unique sites:
Si (0.000, 0.000, 0.000) (multiplicity 4)
Se (0.126, 0.126, 0.374) (multiplicity 16)
Br (0.250, 0.250, 0.750) (multiplicity 4)

Values from the calculation:
Total moment, μB per formula unit: 0.00
N(E_F), states/eV/cell: 31.397
Uncorrected energy, eV per atom: -2.8547
Formation energy without anion corrections, meV per atom: 651
Calculated volume, Å³/cell: 532.7



VASP calculation (PBE) on YBe2Se after structural relaxation.

Cell: 3.831 3.831 9.996 Å, 90.00 90.00 90.00°
Space group I4/mmm (No. 139)
Unique sites:
Y (0.000, 0.000, 0.000) (multiplicity 2)
Be (0.000, 0.500, 0.250) (multiplicity 4)
Se (0.000, 0.000, 0.500) (multiplicity 2)

Values from the calculation:
Total moment, μB per formula unit: 0.00
N(E_F), states/eV/cell: 2.950
Uncorrected energy, eV per atom: -4.3410
Formation energy without anion corrections, meV per atom: 9
Calculated volume, Å³/cell: 146.7



VASP calculation (PBE) on CrRh after structural relaxation.

Cell: 9.990 9.990 2.766 Å, 90.00 90.00 90.00°
Space group I4/m (No. 87)
Unique sites:
Cr (0.170, 0.775, 0.000) (multiplicity 8)
Rh (0.055, 0.344, 0.000) (multiplicity 8)

Values from the calculation:
Total moment, μB per formula unit: 0.00
N(E_F), states/eV/cell: 12.661
Uncorrected energy, eV per atom: -7.9405
Formation enthalpy at 0 K, eV/atom: 0.547
Calculated volume, Å³/cell: 276.0